No. 1
TlCuF3, optimized geometry, DFT GGA-PBE; space group = P1 (1); formation energy from raw total energies = -1.629 eV/atom; spin magnetization = 1.034 μB/f.u.
1.0
5.681 0.000 0.000
-0.220 5.929 0.000
-0.290 -2.812 5.232
Tl Cu F
2 2 6
direct
0.000 0.000 0.000 Tl
0.498 0.322 0.678 Tl
0.250 0.661 0.339 Cu
0.750 0.661 0.339 Cu
0.001 0.526 0.474 F
0.101 0.974 0.489 F
0.398 0.347 0.189 F
0.498 0.796 0.204 F
0.603 0.811 0.652 F
0.896 0.510 0.026 F


No. 2
SmPuPaO6, optimized geometry, DFT GGA-PBE; space group = P-31c (163); formation energy from raw total energies = -3.258 eV/atom; spin magnetization = 4.000 μB/f.u.
1.0
5.821 0.000 0.000
-2.911 5.041 0.000
0.000 0.000 9.472
Sm Pu Pa O
2 2 2 12
direct
0.333 0.667 0.250 Sm
0.667 0.333 0.750 Sm
0.333 0.667 0.750 Pu
0.667 0.333 0.250 Pu
0.000 0.000 0.000 Pa
0.000 0.000 0.500 Pa
0.017 0.329 0.627 O
0.017 0.689 0.873 O
0.311 0.329 0.873 O
0.311 0.983 0.627 O
0.329 0.017 0.127 O
0.329 0.311 0.373 O
0.671 0.689 0.627 O
0.671 0.983 0.873 O
0.689 0.017 0.373 O
0.689 0.671 0.127 O
0.983 0.311 0.127 O
0.983 0.671 0.373 O


No. 3
Pu2BiPt, optimized geometry, DFT GGA-PBE; space group = R-3m (166); relative energy among the computed polymorphs = 0.51 kcal/mol of atoms; DFT formation energy = -0.474 eV per atom; spin magnetization = 10.814 μB/f.u.
1.0
4.303 0.000 0.000
-2.152 3.727 0.000
0.000 0.000 21.248
Pu Bi Pt
6 3 3
direct
0.000 0.000 0.237 Pu
0.000 0.000 0.763 Pu
0.333 0.667 0.429 Pu
0.333 0.667 0.904 Pu
0.667 0.333 0.096 Pu
0.667 0.333 0.571 Pu
0.000 0.000 0.000 Bi
0.333 0.667 0.667 Bi
0.667 0.333 0.333 Bi
0.000 0.000 0.500 Pt
0.333 0.667 0.167 Pt
0.667 0.333 0.833 Pt


| no. | total energy (eV/atom) |
| --- | --- |
| 1 | -4.044 |
| 2 | -9.736 |
| 3 | -10.120 |